This record from the Alexandria database describes crystalline TaSiRu2 at its relaxed geometry. The functional is PBE.

Cell: 6.1924 6.1924 6.1924 Å, 90.00 90.00 90.00°
Last column: nearest neighbours and their distance in Å.
Space group F-43m (No. 216)
Inequivalent atoms, fractional coordinates:
Ta: 0.0000 0.0000 0.0000  4 Ru 2.68, 4 Si 2.68
Si: 0.2500 0.2500 0.2500  4 Ta 2.68, 4 Ru 2.68
Ru: 0.0000 0.0000 0.5000  4 Ru 2.68, 4 Si 2.68
Ru: 0.2500 0.2500 0.7500  4 Ta 2.68, 4 Ru 2.68

Results
- Density: 11.5 g/cm3
- Formation energy without anion corrections: 0 meV per atom